Entry 1:
# Dy3Tm3ScS8 | the Alexandria database | PBE | optimized geometry
# * size of the total moment: 0.0 μB/cell
# * space-group type: No. 166
# * D(E_F): 6.4 states/eV per cell
# * raw formation energy: -2023 meV/atom
data_Dy3Tm3ScS8
_symmetry_space_group_name_H-M 'P 1'
_symmetry_Int_Tables_number 1
_symmetry_space_group_name_Hall 'P 1'
_cell_length_a 7.713
_cell_length_b 7.713
_cell_length_c 7.713
_cell_angle_alpha 59.82
_cell_angle_beta 59.82
_cell_angle_gamma 59.82
loop_
_atom_site_label
_atom_site_type_symbol
_atom_site_fract_x
_atom_site_fract_y
_atom_site_fract_z
Dy1 Dy 0.000 0.500 0.500
Dy2 Dy 0.500 0.000 0.500
Dy3 Dy 0.500 0.500 0.000
Tm1 Tm 0.000 0.000 0.500
Tm2 Tm 0.000 0.500 0.000
Tm3 Tm 0.500 0.000 0.000
Sc1 Sc 0.500 0.500 0.500
S1 S 0.248 0.248 0.248
S2 S 0.252 0.745 0.745
S3 S 0.255 0.255 0.748
S4 S 0.255 0.748 0.255
S5 S 0.745 0.252 0.745
S6 S 0.745 0.745 0.252
S7 S 0.748 0.255 0.255
S8 S 0.752 0.752 0.752

Entry 2:
# NaAcZn | the Alexandria database | PBE | optimized geometry
# * size of the total moment: 0.0 μB/cell
# * space-group type: No. 139
# * D(E_F): 4.1 states/eV per cell
# * formation enthalpy at 0 K: 0.08 eV per formula unit
# * excess energy over the best structure of this formula in the dataset: 0.0 kJ per mole of atoms
data_NaAcZn
_symmetry_space_group_name_H-M 'P 1'
_symmetry_Int_Tables_number 1
_symmetry_space_group_name_Hall 'P 1'
_cell_length_a 15.108
_cell_length_b 15.108
_cell_length_c 15.108
_cell_angle_alpha 165.62
_cell_angle_beta 165.62
_cell_angle_gamma 20.38
loop_
_atom_site_label
_atom_site_type_symbol
_atom_site_fract_x
_atom_site_fract_y
_atom_site_fract_z
Na1 Na 0.061 0.061 0.000
Na2 Na 0.939 0.939 0.000
Ac1 Ac 0.337 0.337 0.000
Ac2 Ac 0.663 0.663 0.000
Zn1 Zn 0.228 0.228 0.000
Zn2 Zn 0.772 0.772 0.000

Entry 3:
# PaSi2AuO8 | the Alexandria database | PBE | optimized geometry
# * size of the total moment: 0.0 μB/cell
# * space-group type: No. 119
# * D(E_F): 7.7 states/eV per cell
# * raw formation energy: -2177 meV/atom
data_PaSi2AuO8
_symmetry_space_group_name_H-M 'P 1'
_symmetry_Int_Tables_number 1
_symmetry_space_group_name_Hall 'P 1'
_cell_length_a 5.786
_cell_length_b 5.786
_cell_length_c 5.786
_cell_angle_alpha 108.69
_cell_angle_beta 108.69
_cell_angle_gamma 111.05
loop_
_atom_site_label
_atom_site_type_symbol
_atom_site_fract_x
_atom_site_fract_y
_atom_site_fract_z
Pa1 Pa 0.000 0.000 0.000
Si1 Si 0.500 0.500 0.000
Si2 Si 0.750 0.250 0.500
Au1 Au 0.250 0.750 0.500
O1 O 0.324 0.146 0.822
O2 O 0.324 0.502 0.178
O3 O 0.404 0.097 0.308
O4 O 0.498 0.676 0.822
O5 O 0.789 0.097 0.692
O6 O 0.854 0.676 0.178
O7 O 0.903 0.211 0.308
O8 O 0.903 0.596 0.692

Entry 4:
# LaThSc4 | the Alexandria database | PBE | optimized geometry
# * size of the total moment: 0.0 μB/cell
# * space-group type: No. 12
# * D(E_F): 10.8 states/eV per cell
# * formation enthalpy at 0 K: 1.25 eV per formula unit
# * excess energy over the best structure of this formula in the dataset: 13.5 kJ per mole of atoms
data_LaThSc4
_symmetry_space_group_name_H-M 'P 1'
_symmetry_Int_Tables_number 1
_symmetry_space_group_name_Hall 'P 1'
_cell_length_a 5.675
_cell_length_b 5.675
_cell_length_c 10.920
_cell_angle_alpha 117.58
_cell_angle_beta 117.58
_cell_angle_gamma 32.66
loop_
_atom_site_label
_atom_site_type_symbol
_atom_site_fract_x
_atom_site_fract_y
_atom_site_fract_z
La1 La 0.000 0.000 0.000
Th1 Th 0.500 0.500 0.500
Sc1 Sc 0.155 0.155 0.346
Sc2 Sc 0.343 0.343 0.160
Sc3 Sc 0.657 0.657 0.840
Sc4 Sc 0.845 0.845 0.654